(1)
The following is a DFT calculation (GGA-PBE) of a geometry-optimized BaH7Rh2 structure.

raw total energy: -4.30 eV per atom
total moment: 0.0 Bohr magnetons per cell
SG: Cmmm, No. 65

abc: 3.7220 5.5012 5.5013
angles: 121.98 90.00 90.00
Element x y z (fractional)
Ba: 0.0000 0.0000 0.0000
H: 0.0000 0.6761 0.3239
H: 0.0000 0.3239 0.6761
H: 0.5000 0.0210 0.3426
H: 0.5000 0.9790 0.6574
H: 0.5000 0.3426 0.0210
H: 0.5000 0.6574 0.9790
H: 0.5000 0.5000 0.5000
Rh: 0.5000 0.6827 0.3173
Rh: 0.5000 0.3173 0.6827

(2)
The following is a DFT calculation (GGA-PBE) of a geometry-optimized Ba2H2Rh structure.

offset from the most stable computed form: 0.316 eV/atom
total moment: 0.0 Bohr magnetons per cell
SG: I4/mmm, No. 139

abc: 3.9387 3.9387 7.8556
angles: 75.48 75.48 90.00
Element x y z (fractional)
H: 0.7500 0.2500 0.5000
H: 0.2500 0.7500 0.5000
Rh: 0.0000 0.0000 0.0000
Ba: 0.3643 0.3643 0.2714
Ba: 0.6357 0.6357 0.7286

(3)
The following is a DFT calculation (GGA-PBE) of a geometry-optimized BaHRh structure.

offset from the most stable computed form: 0.102 eV/atom
total moment: 0.0 Bohr magnetons per cell
SG: Cmce, No. 64

abc: 6.2498 7.5456 6.2543
angles: 90.00 127.29 90.00
Element x y z (fractional)
H: 0.1103 0.2498 0.8899
H: 0.8897 0.7502 0.1101
H: 0.3897 0.7498 0.6101
H: 0.6103 0.2502 0.3899
Rh: 0.4325 0.3521 0.0676
Rh: 0.5675 0.6479 0.9324
Rh: 0.9325 0.1479 0.5676
Rh: 0.0675 0.8521 0.4324
Ba: 0.3534 0.9173 0.1467
Ba: 0.8534 0.5827 0.6467
Ba: 0.6466 0.0827 0.8533
Ba: 0.1466 0.4173 0.3533

(4)
The following is a DFT calculation (GGA-PBE) of a geometry-optimized BaHRh3 structure.

offset from the most stable computed form: 2.082 eV/atom
total moment: 2.8 Bohr magnetons per cell
SG: Pm-3m, No. 221

abc: 5.2006 5.2006 5.2006
angles: 90.00 90.00 90.00
Each line ends with the local moment (μB).
Element x y z (fractional)
H: 0.5000 0.5000 0.5000  0.30
Rh: 0.0000 0.5000 0.0000  0.74
Rh: 0.0000 0.0000 0.5000  0.68
Rh: 0.5000 0.0000 0.0000  0.74
Ba: 0.0000 0.0000 0.0000  -0.04

(5)
The following is a DFT calculation (GGA-PBE) of a geometry-optimized Ba5H2Rh structure.

raw total energy: -3.13 eV per atom
total moment: 0.0 Bohr magnetons per cell
SG: Cmcm, No. 63

abc: 5.9646 7.7119 14.8265
angles: 90.00 90.00 112.75
Element x y z (fractional)
Ba: 0.3309 0.6618 0.4288
Ba: 0.3309 0.6618 0.0712
Ba: 0.0505 0.1010 0.3832
Ba: 0.0505 0.1010 0.1168
Ba: 0.2652 0.5303 0.7500
Ba: 0.7348 0.4697 0.2500
Ba: 0.9495 0.8990 0.8832
Ba: 0.9495 0.8990 0.6168
Ba: 0.6691 0.3382 0.5712
Ba: 0.6691 0.3382 0.9288
H: 0.1566 0.3131 0.9576
H: 0.1566 0.3131 0.5424
H: 0.8434 0.6869 0.4576
H: 0.8434 0.6869 0.0424
Rh: 0.2104 0.4209 0.2500
Rh: 0.7896 0.5791 0.7500

(6)
The following is a DFT calculation (GGA-PBE) of a geometry-optimized BaHRh structure.

offset from the most stable computed form: 0.000 eV/atom
total moment: 0.0 Bohr magnetons per cell
SG: Cc, No. 9

abc: 5.1887 4.8136 5.7946
angles: 65.46 89.89 89.81
Element x y z (fractional)
Ba: 0.9204 0.7074 0.1592
Ba: 0.4204 0.9952 0.5836
H: 0.2109 0.2389 0.0955
H: 0.7111 0.4632 0.6476
Rh: 0.5008 0.3168 0.9395
Rh: 0.0009 0.3852 0.8033